PrNbAg | OQMD | PBE-GGA | optimized geometry; calculated formation energy = 1.227 eV per atom; crystal system = cubic; offset from the most stable computed form = 0.839 eV per formula unit; V = 28.00 Å³ per atom
1.0
0.0000 3.4761 3.4761
3.4761 0.0000 3.4761
3.4761 3.4761 0.0000
Ag Nb Pr
1 1 1
direct
0.2500 0.2500 0.2500 Ag
0.7500 0.7500 0.7500 Nb
0.0000 0.0000 0.0000 Pr

---

PrNbAg | OQMD | PBE-GGA | optimized geometry; calculated formation energy = 0.947 eV per atom; crystal system = cubic; offset from the most stable computed form = 0.000 eV per formula unit; V = 25.71 Å³ per atom
1.0
3.8249 -2.8608 0.1316
0.1929 -3.8617 -2.8075
3.0243 -0.1170 -3.6975
Ag Nb Pr
1 1 1
direct
0.0000 0.0000 0.0000 Ag
0.7500 0.7500 0.7500 Nb
0.5000 0.5000 0.5000 Pr

---

NbAgPt | OQMD | PBE-GGA | optimized geometry; calculated formation energy = 0.353 eV per atom; crystal system = cubic; offset from the most stable computed form = 0.623 eV per formula unit; V = 20.11 Å³ per atom
1.0
0.0000 3.1131 3.1131
3.1131 0.0000 3.1131
3.1131 3.1131 0.0000
Ag Nb Pt
1 1 1
direct
0.2500 0.2500 0.2500 Ag
0.0000 0.0000 0.0000 Nb
0.7500 0.7500 0.7500 Pt

---

NbAg3Pt | OQMD | PBE-GGA | optimized geometry; calculated formation energy = 1.026 eV per atom; crystal system = tetragonal; V = 22.18 Å³ per atom
1.0
-3.2905 3.2905 5.1206
3.2905 -3.2905 5.1206
3.2905 3.2905 -5.1206
Ag Nb Pt
6 2 2
direct
0.2500 0.2500 0.0000 Ag
0.7500 0.7500 0.0000 Ag
0.8572 0.3572 0.2144 Ag
0.3572 0.1428 0.5000 Ag
0.6428 0.8572 0.5000 Ag
0.1428 0.6428 0.7856 Ag
0.7500 0.2500 0.5000 Nb
0.2500 0.7500 0.5000 Nb
0.0000 0.0000 0.0000 Pt
0.5000 0.5000 0.0000 Pt

---

NbAgPt | OQMD | PBE-GGA | optimized geometry; calculated formation energy = 0.146 eV per atom; crystal system = cubic; offset from the most stable computed form = 0.000 eV per formula unit; V = 19.98 Å³ per atom
1.0
0.1127 -4.1708 1.3735
-1.6643 -1.0663 3.9227
-3.7145 -2.3312 0.2497
Ag Nb Pt
1 1 1
direct
0.2500 0.2500 0.2500 Ag
0.7500 0.7500 0.7500 Nb
0.0000 0.0000 0.0000 Pt

---

Nb2AgPt | OQMD | PBE-GGA | optimized geometry; calculated formation energy = 0.077 eV per atom; crystal system = cubic; V = 17.19 Å³ per atom
1.0
0.0000 3.2517 3.2517
3.2517 0.0000 3.2517
3.2517 3.2517 0.0000
Ag Nb Pt
1 2 1
direct
0.5000 0.5000 0.5000 Ag
0.0000 0.0000 0.0000 Nb
0.2500 0.2500 0.2500 Nb
0.7500 0.7500 0.7500 Pt

---

Q: Look up the calculated formation energy of the second one.
A: 0.947 eV per atom

---

Q: Which of these has the highest calculated formation energy?
A: number 1